Record 1
! CaY5Zn4 | the Alexandria database | PBE | relaxed; values from VASP
! **ρ**: 4.8 g/cm³
! **ΔE_f**: -0.261 eV per atom
! **Total moment**: 0.5 μB per formula unit
! **Crystal system**: tetragonal
&SYSTEM
  ibrav = 0, nat = 10, ntyp = 3
/
ATOMIC_SPECIES
Y 88.91 Y.upf
Zn 65.41 Zn.upf
Ca 40.08 Ca.upf
CELL_PARAMETERS angstrom
-0.5525 2.9740 -1.9645
1.1182 -1.7429 -2.9531
-18.5589 -5.8207 -3.5921
ATOMIC_POSITIONS crystal
Y 0.5000 0.5000 0.8555
Y 0.5000 0.5000 0.3205
Zn 0.0000 0.0000 0.2300
Zn 0.0000 0.0000 0.4097
Y 0.5000 0.5000 0.5000
Ca 0.0000 0.0000 0.0000
Zn 0.0000 0.0000 0.5903
Zn 0.0000 0.0000 0.7700
Y 0.5000 0.5000 0.1445
Y 0.5000 0.5000 0.6795

---

Record 2
! La2Tb5Pm3 | the Alexandria database | PBE | relaxed; values from VASP
! **ρ**: 7.4 g/cm³
! **ΔE_f**: 0.175 eV per atom
! **Total moment**: 0.0 μB per formula unit
! **Crystal system**: monoclinic
&SYSTEM
  ibrav = 0, nat = 20, ntyp = 3
/
ATOMIC_SPECIES
Tb 158.93 Tb.upf
Pm 145.00 Pm.upf
La 138.91 La.upf
CELL_PARAMETERS angstrom
8.2989 1.3566 -3.7740
0.1279 8.3696 -3.8712
-1.4591 -1.5536 11.0688
ATOMIC_POSITIONS crystal
Tb 0.4724 0.7224 0.4448
Pm 0.7299 0.4827 0.2528
Pm 0.7741 0.0241 0.0482
Pm 0.9771 0.2299 0.7472
Pm 0.2259 0.9759 0.9518
Tb 0.0285 0.7785 0.5571
La 0.7700 0.0224 0.7471
La 0.4771 0.7246 0.7471
Tb 0.1270 0.3824 0.2622
Tb 0.5276 0.2776 0.5552
Tb 0.3648 0.1202 0.7378
Tb 0.9715 0.2215 0.4429
Pm 0.2701 0.5173 0.7472
La 0.5229 0.2754 0.2529
Tb 0.8730 0.6176 0.7378
Tb 0.7244 0.4745 0.9489
Tb 0.6352 0.8798 0.2622
Tb 0.2756 0.5255 0.0511
La 0.2300 0.9776 0.2529
Pm 0.0229 0.7701 0.2528

---

Record 3
! Be3Nb12Pd5 | the Alexandria database | PBE | relaxed; values from VASP
! **ρ**: 6.8 g/cm³
! **ΔE_f**: 0.737 eV per atom
! **Total moment**: 0.0 μB per formula unit
! **Crystal system**: cubic
&SYSTEM
  ibrav = 0, nat = 80, ntyp = 3
/
ATOMIC_SPECIES
Nb 92.91 Nb.upf
Pd 106.42 Pd.upf
Be 9.01 Be.upf
CELL_PARAMETERS angstrom
-1.1492 7.0317 -10.7222
-11.2774 -0.2387 6.2045
8.9761 5.2174 7.6119
ATOMIC_POSITIONS crystal
Nb 0.2613 0.3983 0.8355
Nb 0.5742 0.3355 0.9372
Nb 0.6370 0.5628 0.8983
Pd 0.0000 0.5000 0.5000
Be 0.8750 0.1250 0.2500
Nb 0.8630 0.6017 0.9372
Be 0.2500 0.1250 0.3750
Pd 0.0000 0.0000 0.5000
Pd 0.2500 0.8750 0.1250
Nb 0.3630 0.4372 0.1017
Nb 0.4258 0.7613 0.8630
Nb 0.6370 0.0742 0.2387
Nb 0.7613 0.4258 0.3630
Nb 0.8983 0.0628 0.6370
Nb 0.9258 0.5628 0.1645
Nb 0.8355 0.9372 0.0742
Be 0.8750 0.7500 0.1250
Nb 0.1645 0.1017 0.7387
Nb 0.0742 0.4372 0.8355
Nb 0.9372 0.1017 0.8630
Nb 0.5628 0.6370 0.3983
Nb 0.7387 0.6017 0.1645
Be 0.3750 0.6250 0.2500
Nb 0.4372 0.3630 0.6017
Nb 0.1017 0.1645 0.2387
Pd 0.0000 0.5000 0.0000
Pd 0.5000 0.5000 0.0000
Pd 0.8750 0.6250 0.7500
Pd 0.5000 0.5000 0.5000
Nb 0.3355 0.5742 0.4372
Nb 0.3983 0.1370 0.5628
Be 0.2500 0.6250 0.8750
Nb 0.6645 0.2387 0.6017
Nb 0.4372 0.0742 0.3355
Be 0.3750 0.7500 0.6250
Nb 0.4258 0.6645 0.0628
Nb 0.1645 0.0628 0.9258
Nb 0.3983 0.2613 0.3355
Be 0.7500 0.8750 0.6250
Nb 0.1370 0.3983 0.0628
Nb 0.0628 0.8983 0.1370
Nb 0.2387 0.6645 0.1017
Pd 0.7500 0.1250 0.8750
Nb 0.0628 0.1645 0.4258
Nb 0.5742 0.2387 0.1370
Nb 0.7613 0.3355 0.8983
Nb 0.0742 0.6370 0.7387
Nb 0.8983 0.8355 0.7613
Nb 0.6017 0.7387 0.6645
Nb 0.7387 0.1370 0.0742
Nb 0.2387 0.5742 0.6370
Nb 0.1370 0.7387 0.5742
Pd 0.1250 0.3750 0.2500
Pd 0.5000 0.0000 0.0000
Nb 0.3355 0.7613 0.3983
Nb 0.9372 0.8355 0.5742
Nb 0.3630 0.9258 0.7613
Be 0.6250 0.2500 0.3750
Pd 0.6250 0.7500 0.8750
Pd 0.0000 0.0000 0.0000
Be 0.1250 0.2500 0.8750
Pd 0.3750 0.1250 0.7500
Nb 0.2613 0.8630 0.9258
Pd 0.7500 0.6250 0.3750
Nb 0.8355 0.8983 0.2613
Be 0.7500 0.3750 0.1250
Be 0.6250 0.3750 0.7500
Nb 0.6017 0.8630 0.4372
Nb 0.1017 0.9372 0.3630
Nb 0.6645 0.4258 0.5628
Pd 0.1250 0.7500 0.3750
Pd 0.3750 0.2500 0.1250
Pd 0.8750 0.2500 0.6250
Be 0.1250 0.8750 0.7500
Pd 0.5000 0.0000 0.5000
Nb 0.8630 0.2613 0.4258
Nb 0.5628 0.9258 0.6645
Pd 0.2500 0.3750 0.6250
Pd 0.6250 0.8750 0.2500
Nb 0.9258 0.3630 0.2613

---

Record 4
! HoErAg | the Alexandria database | PBE | relaxed; values from VASP
! **ρ**: 9.3 g/cm³
! **ΔE_f**: -0.042 eV per atom
! **Total moment**: 0.0 μB per formula unit
! **Crystal system**: trigonal
&SYSTEM
  ibrav = 0, nat = 3, ntyp = 3
/
ATOMIC_SPECIES
Er 167.26 Er.upf
Ho 164.93 Ho.upf
Ag 107.87 Ag.upf
CELL_PARAMETERS angstrom
3.6149 0.0000 0.0000
0.0000 5.0233 0.0000
0.0000 -2.5117 4.3503
ATOMIC_POSITIONS crystal
Er 0.0661 0.0000 0.0000
Ho 0.6050 0.6667 0.3333
Ag 0.3289 0.3333 0.6667

---

Record 5
! Th8Os3CSe3 | the Alexandria database | PBE | relaxed; values from VASP
! **ΔE_f (raw)**: -745 meV/atom
! **ρ**: 10.6 g/cm³
! **Total moment**: 0.0 μB per formula unit
! **Crystal system**: monoclinic
&SYSTEM
  ibrav = 0, nat = 15, ntyp = 4
/
ATOMIC_SPECIES
Th 232.04 Th.upf
Os 190.23 Os.upf
Se 78.96 Se.upf
C 12.01 C.upf
CELL_PARAMETERS angstrom
8.2073 -0.0011 -0.0029
-4.1046 7.1023 -0.0202
-0.0019 -4.7068 7.1932
ATOMIC_POSITIONS crystal
Th 0.7498 0.9780 0.7061
Os 0.0000 0.5000 0.5000
Se 0.0000 0.0000 0.0000
C 0.0000 0.0000 0.5000
Th 0.7717 0.5433 0.2935
Se 0.5000 0.5000 0.0000
Th 0.2283 0.4567 0.7065
Os 0.5000 0.5000 0.5000
Th 0.7717 0.0218 0.2938
Th 0.7393 0.4785 0.7179
Se 0.0000 0.5000 0.0000
Th 0.2607 0.5215 0.2821
Th 0.2283 0.9782 0.7062
Os 0.5000 0.0000 0.5000
Th 0.2502 0.0220 0.2939

---

Record 6
! PuBiIO4 | the Alexandria database | PBE | relaxed; values from VASP
! **ΔE_f (raw)**: -1599 meV/atom
! **ρ**: 7.1 g/cm³
! **Total moment**: 2.3 μB per formula unit
! **Crystal system**: monoclinic
&SYSTEM
  ibrav = 0, nat = 14, ntyp = 4
/
ATOMIC_SPECIES
Pu 244.00 Pu.upf
O 16.00 O.upf
I 126.90 I.upf
Bi 208.98 Bi.upf
CELL_PARAMETERS angstrom
7.2713 0.7341 -0.2497
3.1012 6.6176 -0.2497
1.8925 1.3414 6.4973
ATOMIC_POSITIONS crystal
Pu 0.3843 0.3843 0.2216
O 0.4297 0.4297 0.8954
O 0.9179 0.5321 0.7994
O 0.6431 0.6431 0.4815
I 0.9875 0.9875 0.2614
I 0.0125 0.0125 0.7386
O 0.0821 0.4679 0.2006
O 0.5321 0.9179 0.7994
O 0.5703 0.5703 0.1046
Pu 0.6157 0.6157 0.7784
Bi 0.2587 0.2587 0.8398
Bi 0.7413 0.7413 0.1602
O 0.3569 0.3569 0.5185
O 0.4679 0.0821 0.2006

---

Record 7
! NaSbSI2 | the Alexandria database | PBE | relaxed; values from VASP
! **ΔE_f (raw)**: 44 meV/atom
! **ρ**: 3.9 g/cm³
! **Total moment**: 1.7 μB per formula unit
! **Crystal system**: tetragonal
&SYSTEM
  ibrav = 0, nat = 5, ntyp = 4
/
ATOMIC_SPECIES
S 32.06 S.upf
Na 22.99 Na.upf
I 126.90 I.upf
Sb 121.76 Sb.upf
CELL_PARAMETERS angstrom
5.9095 0.0000 0.0000
0.0000 5.9095 0.0000
0.0000 0.0000 5.2869
ATOMIC_POSITIONS crystal
S 0.0000 0.0000 0.0000
Na 0.5000 0.5000 0.5000
I 0.5000 0.0000 0.0000
I 0.0000 0.5000 0.0000
Sb 0.0000 0.0000 0.5000

---

Record 8
! Th4ReCl5 | the Alexandria database | PBE | relaxed; values from VASP
! **ΔE_f (raw)**: -1326 meV/atom
! **ρ**: 7.2 g/cm³
! **Total moment**: 0.0 μB per formula unit
! **Crystal system**: monoclinic
&SYSTEM
  ibrav = 0, nat = 10, ntyp = 3
/
ATOMIC_SPECIES
Cl 35.45 Cl.upf
Th 232.04 Th.upf
Re 186.21 Re.upf
CELL_PARAMETERS angstrom
3.7713 0.0000 -0.8213
-0.3681 8.7338 -1.6905
-0.0125 0.3091 9.0125
ATOMIC_POSITIONS crystal
Cl 0.1678 0.2985 0.3356
Th 0.6684 0.0459 0.3368
Cl 0.5000 0.5000 0.0000
Re 0.5000 0.0000 0.0000
Th 0.3316 0.9541 0.6632
Th 0.9970 0.7774 0.9940
Cl 0.8322 0.7015 0.6644
Cl 0.8358 0.2130 0.6715
Cl 0.1642 0.7870 0.3285
Th 0.0030 0.2226 0.0060

---

Record 9
! PmEr2Cd5 | the Alexandria database | PBE | relaxed; values from VASP
! **ρ**: 8.7 g/cm³
! **ΔE_f**: -0.308 eV per atom
! **Total moment**: 0.0 μB per formula unit
! **Crystal system**: tetragonal
&SYSTEM
  ibrav = 0, nat = 8, ntyp = 3
/
ATOMIC_SPECIES
Cd 112.41 Cd.upf
Er 167.26 Er.upf
Pm 145.00 Pm.upf
CELL_PARAMETERS angstrom
-0.9710 -1.0288 4.9662
-4.2159 -2.6470 -1.3727
6.6718 -4.4011 -2.2918
ATOMIC_POSITIONS crystal
Cd 0.6241 0.1241 0.2481
Cd 0.8759 0.3759 0.7519
Er 0.7381 0.7381 0.4763
Er 0.2619 0.2619 0.5237
Cd 0.5000 0.5000 0.0000
Cd 0.3759 0.8759 0.7519
Cd 0.1241 0.6241 0.2481
Pm 0.0000 0.0000 0.0000

---

Record 10
! NbGa3Se | the Alexandria database | PBE | relaxed; values from VASP
! **ΔE_f (raw)**: 682 meV/atom
! **ρ**: 4.7 g/cm³
! **Total moment**: 2.0 μB per formula unit
! **Crystal system**: cubic
&SYSTEM
  ibrav = 0, nat = 5, ntyp = 3
/
ATOMIC_SPECIES
Ga 69.72 Ga.upf
Se 78.96 Se.upf
Nb 92.91 Nb.upf
CELL_PARAMETERS angstrom
-4.1251 -2.7206 1.3965
1.5552 0.1527 4.8915
-2.6331 4.3524 0.7013
ATOMIC_POSITIONS crystal
Ga 0.0000 0.5000 0.0000
Se 0.5000 0.5000 0.5000
Ga 0.0000 0.0000 0.5000
Nb 0.0000 0.0000 0.0000
Ga 0.5000 0.0000 0.0000

---

Record 11
! BaBe2FeP | the Alexandria database | PBE | relaxed; values from VASP
! **ρ**: 4.0 g/cm³
! **ΔE_f**: 0.957 eV per atom
! **Total moment**: 0.0 μB per formula unit
! **Crystal system**: tetragonal
&SYSTEM
  ibrav = 0, nat = 5, ntyp = 4
/
ATOMIC_SPECIES
Fe 55.84 Fe.upf
Ba 137.33 Ba.upf
P 30.97 P.upf
Be 9.01 Be.upf
CELL_PARAMETERS angstrom
-1.8476 0.2510 -3.9562
-4.0576 -2.7795 1.7186
-2.0278 3.6906 1.1812
ATOMIC_POSITIONS crystal
Fe 0.0000 0.0000 0.0000
Ba 0.0000 0.5000 0.0000
P 0.5000 0.5000 0.5000
Be 0.5000 0.0000 0.0000
Be 0.0000 0.0000 0.5000

---

Record 12
! Y4ZnIn3 | the Alexandria database | PBE | relaxed; values from VASP
! **ρ**: 6.2 g/cm³
! **ΔE_f**: -0.476 eV per atom
! **Total moment**: 0.0 μB per formula unit
! **Crystal system**: tetragonal
&SYSTEM
  ibrav = 0, nat = 8, ntyp = 3
/
ATOMIC_SPECIES
In 114.82 In.upf
Zn 65.41 Zn.upf
Y 88.91 Y.upf
CELL_PARAMETERS angstrom
3.6237 0.0000 0.0000
0.0000 3.6237 0.0000
0.0000 0.0000 15.6540
ATOMIC_POSITIONS crystal
In 0.5000 0.5000 0.7615
Zn 0.5000 0.5000 0.0000
Y 0.0000 0.0000 0.8895
In 0.5000 0.5000 0.5000
Y 0.0000 0.0000 0.3694
In 0.5000 0.5000 0.2385
Y 0.0000 0.0000 0.6306
Y 0.0000 0.0000 0.1105

---

Record 13
! LaTm2Cd | the Alexandria database | PBE | relaxed; values from VASP
! **ρ**: 8.2 g/cm³
! **ΔE_f**: -0.073 eV per atom
! **Total moment**: 0.0 μB per formula unit
! **Crystal system**: trigonal
&SYSTEM
  ibrav = 0, nat = 4, ntyp = 3
/
ATOMIC_SPECIES
Tm 168.93 Tm.upf
La 138.91 La.upf
Cd 112.41 Cd.upf
CELL_PARAMETERS angstrom
3.5807 0.0000 0.0000
1.7904 3.1010 0.0000
1.7904 1.0337 10.8104
ATOMIC_POSITIONS crystal
Tm 0.2578 0.2578 0.2267
La 0.5000 0.5000 0.5000
Cd 0.0000 0.0000 0.0000
Tm 0.7422 0.7422 0.7733

---

Record 14
! Li2TmIr3 | the Alexandria database | PBE | relaxed; values from VASP
! **ρ**: 13.2 g/cm³
! **ΔE_f**: -0.295 eV per atom
! **Total moment**: 0.0 μB per formula unit
! **Crystal system**: orthorhombic
&SYSTEM
  ibrav = 0, nat = 12, ntyp = 3
/
ATOMIC_SPECIES
Ir 192.22 Ir.upf
Li 6.94 Li.upf
Tm 168.93 Tm.upf
CELL_PARAMETERS angstrom
4.8662 0.0000 2.0122
2.2180 6.0193 1.5263
0.1233 0.1009 6.5921
ATOMIC_POSITIONS crystal
Ir 0.0000 0.2700 0.7300
Ir 0.5000 0.5000 0.0000
Li 0.2868 0.9159 0.9159
Li 0.7132 0.0841 0.0841
Tm 0.9495 0.7500 0.7500
Tm 0.0505 0.2500 0.2500
Ir 0.0000 0.7300 0.2700
Li 0.3814 0.4159 0.4159
Ir 0.5000 0.2300 0.7700
Ir 0.5000 0.0000 0.5000
Ir 0.5000 0.7700 0.2300
Li 0.6186 0.5841 0.5841

---

Record 15
! Tb5CdSi2 | the Alexandria database | PBE | relaxed; values from VASP
! **ΔE_f (raw)**: -513 meV/atom
! **ρ**: 7.6 g/cm³
! **Total moment**: 0.0 μB per formula unit
! **Crystal system**: tetragonal
&SYSTEM
  ibrav = 0, nat = 16, ntyp = 3
/
ATOMIC_SPECIES
Tb 158.93 Tb.upf
Si 28.09 Si.upf
Cd 112.41 Cd.upf
CELL_PARAMETERS angstrom
6.8871 0.0000 -3.2511
-1.5347 6.7139 -3.2511
0.0396 0.0497 9.0042
ATOMIC_POSITIONS crystal
Tb 0.5330 0.6901 0.7231
Tb 0.4670 0.3099 0.2769
Si 0.3764 0.8764 0.0000
Tb 0.8099 0.9670 0.2769
Tb 0.5000 0.5000 0.0000
Tb 0.0000 0.0000 0.0000
Tb 0.3099 0.8099 0.2769
Tb 0.9670 0.4670 0.2769
Si 0.1236 0.3764 0.0000
Tb 0.6901 0.1901 0.7231
Si 0.6236 0.1236 0.0000
Cd 0.2500 0.2500 0.5000
Si 0.8764 0.6236 0.0000
Cd 0.7500 0.7500 0.5000
Tb 0.0330 0.5330 0.7231
Tb 0.1901 0.0330 0.7231

---

Record 16
! Mg5In2HgPb2 | the Alexandria database | PBE | relaxed; values from VASP
! **ρ**: 6.2 g/cm³
! **ΔE_f**: -0.016 eV per atom
! **Total moment**: 0.0 μB per formula unit
! **Crystal system**: tetragonal
&SYSTEM
  ibrav = 0, nat = 20, ntyp = 4
/
ATOMIC_SPECIES
Mg 24.30 Mg.upf
Pb 207.20 Pb.upf
In 114.82 In.upf
Hg 200.59 Hg.upf
CELL_PARAMETERS angstrom
-0.3226 -0.5443 3.9144
-10.0117 -5.2303 -1.5524
5.3763 -10.0097 -0.9487
ATOMIC_POSITIONS crystal
Mg 0.5000 0.5000 0.0000
Mg 0.5000 0.5224 0.6972
Pb 0.0000 0.6656 0.1656
Mg 0.5000 0.1972 0.0224
In 0.0000 0.6398 0.8602
Pb 0.0000 0.8344 0.6656
Mg 0.5000 0.3028 0.5224
In 0.0000 0.3602 0.1398
Mg 0.5000 0.8028 0.9776
Mg 0.5000 0.6972 0.4776
Pb 0.0000 0.3344 0.8344
In 0.0000 0.1398 0.6398
Mg 0.5000 0.4776 0.3028
Mg 0.5000 0.9776 0.1972
Pb 0.0000 0.1656 0.3344
Mg 0.5000 0.0224 0.8028
Mg 0.5000 0.0000 0.5000
Hg 0.0000 0.5000 0.5000
In 0.0000 0.8602 0.3602
Hg 0.0000 0.0000 0.0000

---

Record 17
! ZrSc2Cl | the Alexandria database | PBE | relaxed; values from VASP
! **ΔE_f (raw)**: -214 meV/atom
! **ρ**: 4.1 g/cm³
! **Total moment**: 0.0 μB per formula unit
! **Crystal system**: tetragonal
&SYSTEM
  ibrav = 0, nat = 8, ntyp = 3
/
ATOMIC_SPECIES
Sc 44.96 Sc.upf
Cl 35.45 Cl.upf
Zr 91.22 Zr.upf
CELL_PARAMETERS angstrom
-6.2423 -3.1274 -4.0595
0.3608 -6.6502 4.5685
-4.6588 -3.7630 2.0289
ATOMIC_POSITIONS crystal
Sc 0.8750 0.7908 0.7500
Sc 0.2092 0.6250 0.2500
Cl 0.5000 0.5000 0.0000
Zr 0.7500 0.2500 0.5000
Sc 0.5408 0.1250 0.2500
Zr 0.0000 0.0000 0.0000
Sc 0.3750 0.4592 0.7500
Cl 0.2500 0.7500 0.5000

---

Record 18
! NaCdCu | the Alexandria database | PBE | relaxed; values from VASP
! **ρ**: 5.4 g/cm³
! **ΔE_f**: 0.136 eV per atom
! **Total moment**: 0.0 μB per formula unit
! **Crystal system**: trigonal
&SYSTEM
  ibrav = 0, nat = 3, ntyp = 3
/
ATOMIC_SPECIES
Cu 63.55 Cu.upf
Na 22.99 Na.upf
Cd 112.41 Cd.upf
CELL_PARAMETERS angstrom
-0.4673 2.8568 -1.0761
-3.5276 -1.6282 -2.7906
-0.9631 1.5129 4.4347
ATOMIC_POSITIONS crystal
Cu 0.1648 0.0000 0.0000
Na 0.6672 0.3333 0.6667
Cd 0.1679 0.6667 0.3333

---

Record 19
! LiZnHg2F6 | the Alexandria database | PBE | relaxed; values from VASP
! **ΔE_f (raw)**: -1855 meV/atom
! **ρ**: 7.4 g/cm³
! **Total moment**: 0.0 μB per formula unit
! **Crystal system**: monoclinic
&SYSTEM
  ibrav = 0, nat = 20, ntyp = 4
/
ATOMIC_SPECIES
F 19.00 F.upf
Li 6.94 Li.upf
Hg 200.59 Hg.upf
Zn 65.41 Zn.upf
CELL_PARAMETERS angstrom
5.6465 0.0000 0.0060
0.0000 5.7972 0.0000
0.0309 0.0000 8.0574
ATOMIC_POSITIONS crystal
F 0.2013 0.7922 0.5509
Li 0.0000 0.5000 0.0000
F 0.7013 0.7078 0.0509
F 0.2987 0.2922 0.9491
Hg 0.4852 0.5514 0.7492
F 0.5947 0.9710 0.7507
Zn 0.5000 0.0000 0.0000
F 0.9053 0.4710 0.7493
F 0.7049 0.7034 0.4524
F 0.4053 0.0290 0.2493
Hg 0.5148 0.4486 0.2508
Li 0.5000 0.0000 0.5000
Zn 0.0000 0.5000 0.5000
Hg 0.0148 0.0514 0.7508
F 0.0947 0.5290 0.2507
F 0.7951 0.2034 0.0476
F 0.2951 0.2966 0.5476
F 0.2049 0.7966 0.9524
F 0.7987 0.2078 0.4491
Hg 0.9852 0.9486 0.2492